No. 1
Here is an optimized crystal structure of VInS2 from the Alexandria database. Energies are from PBE-GGA.

Cell lengths 8.7492, 8.7492, 8.7492 Å; angles 21.44, 21.44, 21.44 degrees
Sites, in units of the cell vectors:
V 0.5000 0.5000 0.5000
S 0.8893 0.8893 0.8893
S 0.1107 0.1107 0.1107
In 0.0000 0.0000 0.0000

Calculated values
raw total energy	-22.812	eV per cell



No. 2
Here is an optimized crystal structure of VInS4 from the Alexandria database. Energies are from PBE-GGA.

Cell lengths 5.6128, 5.6128, 6.4460 Å; angles 115.81, 115.81, 90.00 degrees
Sites, in units of the cell vectors:
S 0.3732 0.8310 0.2313
S 0.5997 0.6268 0.7687
S 0.1690 0.1420 0.7687
S 0.8580 0.4003 0.2313
In 0.7500 0.2500 0.5000
V 0.5000 0.5000 0.0000

Calculated values
raw total energy	-31.570	eV per cell



No. 3
Here is an optimized crystal structure of VIn2S4 from the Alexandria database. Energies are from PBE-GGA.

Cell lengths 4.4307, 4.4307, 8.3998 Å; angles 74.71, 74.71, 90.00 degrees
Sites, in units of the cell vectors:
S 0.1614 0.1614 0.6772
S 0.0000 0.5000 0.0000
S 0.8386 0.8386 0.3228
S 0.5000 0.0000 0.0000
In 0.6597 0.6597 0.6805
In 0.3403 0.3403 0.3195
V 0.0000 0.0000 0.0000

Calculated values
raw total energy	-33.209	eV per cell
relative energy among the computed polymorphs	332.9	meV/atom



No. 4
Here is an optimized crystal structure of V4InS8 from the Alexandria database. Energies are from PBE-GGA.

Cell lengths 6.9561, 6.9561, 6.9561 Å; angles 60.00, 60.00, 60.00 degrees
Sites, in units of the cell vectors:
S 0.6073 0.1781 0.6073
S 0.1781 0.6073 0.6073
S 0.6073 0.6073 0.1781
S 0.6073 0.6073 0.6073
S 0.1230 0.6310 0.1230
S 0.6310 0.1230 0.1230
S 0.1230 0.1230 0.6310
S 0.1230 0.1230 0.1230
In 0.7500 0.7500 0.7500
V 0.3535 0.3535 0.3535
V 0.3535 0.3535 0.9395
V 0.3535 0.9395 0.3535
V 0.9395 0.3535 0.3535

Calculated values
raw total energy	-83.409	eV per cell



| no. | ΔE_f (raw) (eV per atom) |
| --- | --- |
| 1 | -0.675 |
| 2 | -0.534 |
| 3 | -0.301 |
| 4 | -0.860 |